Density functional theory data (GGA+U) for VIn2O5 after structural relaxation.

Output
Distance to the lowest polymorph of the same formula: 0 meV/atom
Final energy: -6.42 eV/atom
M_tot: 3.989 μB per cell

Lattice parameters (Å, degrees): 7.3263 3.5722 14.9804 90.00 90.00 90.00
With the nearest neighbours (Å) after each atom.
Atoms (fractional coordinates):
V1 0.1033 0.2500 0.0748  3 O 1.79-1.88
V2 0.3967 0.7500 0.5748  3 O 1.79-1.88
V3 0.6033 0.2500 0.4252  3 O 1.79-1.88
V4 0.8967 0.7500 0.9252  3 O 1.79-1.88
In1 0.1025 0.2500 0.4184  6 O 2.21-2.30
In2 0.1769 0.2500 0.7606  6 O 2.13-2.29
In3 0.3231 0.7500 0.2606  6 O 2.13-2.29
In4 0.3975 0.7500 0.9184  6 O 2.21-2.30
In5 0.6025 0.2500 0.0816  6 O 2.21-2.30
In6 0.6769 0.2500 0.7394  6 O 2.13-2.29
In7 0.8231 0.7500 0.2394  6 O 2.13-2.29
In8 0.8975 0.7500 0.5816  6 O 2.21-2.30
O1 0.0558 0.7500 0.3245  4 In 2.13-2.30
O2 0.0656 0.7500 0.0412  2 V 1.88
O3 0.1323 0.7500 0.8487  1 V 2.07, 3 In 2.21-2.24
O4 0.1553 0.7500 0.5047  1 V 2.06, 3 In 2.21-2.24
O5 0.2298 0.2500 0.1767  1 V 1.79
O6 0.2702 0.7500 0.6767  1 V 1.79
O7 0.3447 0.2500 0.0047  1 V 2.06, 3 In 2.21-2.24
O8 0.3677 0.2500 0.3487  1 V 2.07, 3 In 2.21-2.24
O9 0.4344 0.2500 0.5412  2 V 1.88
O10 0.4442 0.2500 0.8245  4 In 2.13-2.30
O11 0.5558 0.7500 0.1755  4 In 2.13-2.30
O12 0.5656 0.7500 0.4588  2 V 1.88
O13 0.6323 0.7500 0.6513  1 V 2.07, 3 In 2.21-2.24
O14 0.6553 0.7500 0.9953  1 V 2.06, 3 In 2.21-2.24
O15 0.7298 0.2500 0.3233  1 V 1.79
O16 0.7702 0.7500 0.8233  1 V 1.79
O17 0.8447 0.2500 0.4953  1 V 2.06, 3 In 2.21-2.24
O18 0.8677 0.2500 0.1513  1 V 2.07, 3 In 2.21-2.24
O19 0.9344 0.2500 0.9588  2 V 1.88
O20 0.9442 0.2500 0.6755  4 In 2.13-2.30